(1)
Computed, not measured: a relaxed structure of Re2TeBr at the PBE-GGA level of DFT.

Computed properties:
Its distance to the lowest polymorph of the same formula is 979.4 meV/atom. As for the raw formation energy: 1266.8 meV/atom. Its space-group type is Fm-3m. The calculation puts the magnetization at 0.0 μB/f.u.

Unit cell a=4.605 b=4.605 c=4.605 alpha=60.00 beta=60.00 gamma=60.00
Fractional positions:
Re (0.250, 0.250, 0.250)
Re (0.750, 0.750, 0.750)
Te (0.500, 0.500, 0.500)
Br (0.000, 0.000, 0.000)


(2)
Computed, not measured: a relaxed structure of ReTe2Br4 at the PBE-GGA level of DFT.

Computed properties:
As for the raw formation energy: -344.4 meV/atom. Its space-group type is I-4. The calculation puts the magnetization at 0.0 μB/f.u.

Unit cell a=11.165 b=11.165 c=11.165 alpha=115.01 beta=115.01 gamma=98.89
Fractional positions:
Br (0.240, 0.287, 0.686)
Br (0.949, 0.354, 0.309)
Br (0.013, 0.395, 0.868)
Br (0.107, 0.983, 0.765)
Br (0.605, 0.473, 0.619)
Br (0.855, 0.987, 0.381)
Br (0.217, 0.342, 0.235)
Br (0.646, 0.955, 0.595)
Br (0.360, 0.051, 0.405)
Br (0.527, 0.145, 0.132)
Br (0.017, 0.783, 0.125)
Br (0.601, 0.554, 0.314)
Br (0.045, 0.640, 0.691)
Br (0.446, 0.760, 0.047)
Br (0.658, 0.893, 0.875)
Br (0.713, 0.399, 0.953)
Te (0.946, 0.349, 0.044)
Te (0.324, 0.604, 0.633)
Te (0.308, 0.676, 0.279)
Te (0.305, 0.902, 0.956)
Te (0.971, 0.692, 0.367)
Te (0.651, 0.695, 0.597)
Te (0.098, 0.054, 0.403)
Te (0.396, 0.029, 0.721)
Re (0.151, 0.565, 0.358)
Re (0.207, 0.849, 0.414)
Re (0.207, 0.793, 0.642)
Re (0.435, 0.793, 0.586)


(3)
Computed, not measured: a relaxed structure of Re3TeBr at the PBE-GGA level of DFT.

Computed properties:
Its distance to the lowest polymorph of the same formula is 0.0 meV/atom. As for the raw formation energy: 2417.2 meV/atom. Its space-group type is Pm-3m. The calculation puts the magnetization at 0.5 μB/f.u.

Unit cell a=4.633 b=4.633 c=4.633 alpha=90.00 beta=90.00 gamma=90.00
Each line ends with the local moment (μB).
Fractional positions:
Re (0.000, 0.000, 0.500)  0.10
Re (0.500, 0.000, 0.000)  0.20
Re (0.000, 0.500, 0.000)  0.15
Te (0.500, 0.500, 0.500)  -0.02
Br (0.000, 0.000, 0.000)  0.00


(4)
Computed, not measured: a relaxed structure of Re2TeBr at the PBE-GGA level of DFT.

Computed properties:
Its distance to the lowest polymorph of the same formula is 1029.0 meV/atom. As for the raw formation energy: 1316.4 meV/atom. Its space-group type is P4/mmm. The calculation puts the magnetization at 0.0 μB/f.u.

Unit cell a=3.257 b=4.611 c=4.611 alpha=90.00 beta=90.00 gamma=90.00
Fractional positions:
Te (0.500, 0.500, 0.000)
Br (0.500, 0.000, 0.500)
Re (0.000, 0.000, 0.000)
Re (0.000, 0.500, 0.500)


(5)
Computed, not measured: a relaxed structure of ReTe3Br5 at the PBE-GGA level of DFT.

Computed properties:
As for the raw formation energy: -263.3 meV/atom. Its space-group type is P2_1. The calculation puts the magnetization at 0.0 μB/f.u.

Unit cell a=9.033 b=11.987 c=13.346 alpha=72.72 beta=90.00 gamma=90.00
Fractional positions:
Br (0.627, 0.268, 0.095)
Br (0.556, 0.420, 0.698)
Br (0.216, 0.009, 0.371)
Br (0.342, 0.447, 0.217)
Br (0.031, 0.920, 0.135)
Br (0.716, 0.029, 0.297)
Br (0.842, 0.553, 0.783)
Br (0.084, 0.348, 0.603)
Br (0.750, 0.585, 0.097)
Br (0.127, 0.732, 0.905)
Br (0.955, 0.193, 0.907)
Br (0.216, 0.971, 0.703)
Br (0.584, 0.652, 0.397)
Br (0.929, 0.773, 0.501)
Br (0.455, 0.807, 0.093)
Br (0.716, 0.991, 0.629)
Br (0.429, 0.227, 0.499)
Br (0.531, 0.080, 0.865)
Br (0.250, 0.415, 0.903)
Br (0.056, 0.580, 0.302)
Te (0.457, 0.569, 0.914)
Te (0.454, 0.820, 0.584)
Te (0.651, 0.805, 0.797)
Te (0.151, 0.195, 0.203)
Te (0.247, 0.400, 0.434)
Te (0.954, 0.180, 0.416)
Te (0.334, 0.917, 0.914)
Te (0.834, 0.083, 0.086)
Te (0.275, 0.633, 0.671)
Te (0.747, 0.600, 0.566)
Te (0.775, 0.367, 0.329)
Te (0.957, 0.431, 0.086)
Re (0.071, 0.369, 0.277)
Re (0.571, 0.631, 0.723)
Re (0.866, 0.226, 0.213)
Re (0.366, 0.774, 0.787)


(6)
Computed, not measured: a relaxed structure of Re3TeBr at the PBE-GGA level of DFT.

Computed properties:
Its distance to the lowest polymorph of the same formula is 409.6 meV/atom. As for the raw formation energy: 2826.8 meV/atom. Its space-group type is Pm-3m. The calculation puts the magnetization at 4.0 μB/f.u.

Unit cell a=4.944 b=4.944 c=4.944 alpha=90.00 beta=90.00 gamma=90.00
Each line ends with the local moment (μB).
Fractional positions:
Br (0.500, 0.500, 0.500)  0.23
Re (0.000, 0.500, 0.000)  1.12
Re (0.000, 0.000, 0.500)  1.03
Re (0.500, 0.000, 0.000)  1.11
Te (0.000, 0.000, 0.000)  -0.04


(7)
Computed, not measured: a relaxed structure of ReTeBr3 at the PBE-GGA level of DFT.

Computed properties:
Its distance to the lowest polymorph of the same formula is 0.0 meV/atom. As for the raw formation energy: 670.7 meV/atom. Its space-group type is Pm-3m. The calculation puts the magnetization at 0.0 μB/f.u.

Unit cell a=5.065 b=5.065 c=5.065 alpha=90.00 beta=90.00 gamma=90.00
Fractional positions:
Br (0.000, 0.000, 0.500)
Br (0.500, 0.000, 0.000)
Br (0.000, 0.500, 0.000)
Re (0.000, 0.000, 0.000)
Te (0.500, 0.500, 0.500)


(8)
Computed, not measured: a relaxed structure of ReTeBr at the PBE-GGA level of DFT.

Computed properties:
Its distance to the lowest polymorph of the same formula is 0.0 meV/atom. As for the raw formation energy: 352.2 meV/atom. Its space-group type is P3m1. The calculation puts the magnetization at 0.0 μB/f.u.

Unit cell a=3.439 b=3.439 c=7.531 alpha=90.00 beta=90.00 gamma=120.00
Fractional positions:
Te (0.333, 0.667, 0.573)
Re (0.667, 0.333, 0.341)
Br (0.000, 0.000, 0.086)


(9)
Computed, not measured: a relaxed structure of Re2TeBr at the PBE-GGA level of DFT.

Computed properties:
Its distance to the lowest polymorph of the same formula is 1198.9 meV/atom. As for the raw formation energy: 1486.3 meV/atom. Its space-group type is I-42d. The calculation puts the magnetization at 0.0 μB/f.u.

Unit cell a=5.760 b=5.760 c=7.048 alpha=65.88 beta=65.88 gamma=90.00
Fractional positions:
Re (0.375, 0.403, 0.750)
Re (0.597, 0.125, 0.250)
Re (0.153, 0.625, 0.250)
Re (0.875, 0.847, 0.750)
Te (0.750, 0.250, 0.500)
Te (0.000, 0.000, 0.000)
Br (0.250, 0.750, 0.500)
Br (0.500, 0.500, 0.000)


(10)
Computed, not measured: a relaxed structure of Re2TeBr at the PBE-GGA level of DFT.

Computed properties:
Its distance to the lowest polymorph of the same formula is 980.9 meV/atom. As for the raw formation energy: 1268.3 meV/atom. Its space-group type is P4/mmm. The calculation puts the magnetization at 0.0 μB/f.u.

Unit cell a=3.268 b=3.268 c=6.588 alpha=90.00 beta=90.00 gamma=90.00
Fractional positions:
Br (0.500, 0.500, 0.750)
Re (0.000, 0.000, 0.018)
Re (0.000, 0.000, 0.482)
Te (0.500, 0.500, 0.250)


(11)
Computed, not measured: a relaxed structure of ZnRe2TeBr at the PBE-GGA level of DFT.

Computed properties:
As for the raw formation energy: 2023.3 meV/atom. Its space-group type is P4/mmm. The calculation puts the magnetization at 0.0 μB/f.u.

Unit cell a=4.655 b=4.897 c=4.655 alpha=90.00 beta=90.00 gamma=90.00
Fractional positions:
Re (0.500, 0.000, 0.000)
Re (0.000, 0.000, 0.500)
Te (0.500, 0.500, 0.500)
Zn (0.000, 0.500, 0.000)
Br (0.000, 0.000, 0.000)


(12)
Computed, not measured: a relaxed structure of Th2ReBr at the PBE-GGA level of DFT.

Computed properties:
Its distance to the lowest polymorph of the same formula is 44.6 meV/atom. As for the raw formation energy: -473.5 meV/atom. Its space-group type is P4/mmm. The calculation puts the magnetization at 0.0 μB/f.u.

Unit cell a=3.451 b=3.451 c=8.550 alpha=90.00 beta=90.00 gamma=90.00
Fractional positions:
Th (0.000, 0.000, 0.213)
Th (0.000, 0.000, 0.787)
Re (0.500, 0.500, 0.000)
Br (0.500, 0.500, 0.500)